1.
Material: AcAs2Pt4
Method: DFT, PBE
State: optimized geometry

- DOS(E_F): 4.78 states/eV/f.u.
- Uncorrected energy: -6.02 eV/atom
- Formation enthalpy at 0 K: -0.654 eV per atom

Structure (POSCAR):
```
AcAs2Pt4
1.0
-1.173 3.892 -0.350
-2.780 -0.158 7.572
7.209 2.416 2.697
Ac As Pt
2 4 8
direct
0.500 0.000 0.000
0.000 0.500 0.500
0.000 0.214 0.786
0.000 0.786 0.214
0.500 0.714 0.714
0.500 0.286 0.286
0.000 0.101 0.350
0.000 0.899 0.650
0.500 0.150 0.601
0.500 0.850 0.399
0.500 0.399 0.850
0.500 0.601 0.150
0.000 0.350 0.101
0.000 0.650 0.899
```

---

2.
Material: AcAs2Pt
Method: DFT, PBE
State: optimized geometry

- Excess energy over the best structure of this formula in the dataset: 0 meV per atom
- DOS(E_F): 4.20 states/eV/f.u.
- Uncorrected energy: -5.43 eV/atom
- Formation enthalpy at 0 K: -0.571 eV per atom

Structure (POSCAR):
```
AcAs2Pt
1.0
-3.396 0.822 4.255
-2.653 -4.258 2.266
0.773 -1.647 4.498
Ac As Pt
1 2 1
direct
0.500 0.500 0.500
0.220 0.220 0.341
0.780 0.780 0.659
0.000 0.000 0.000
```

---

3.
Material: Ac2AsPt
Method: DFT, PBE
State: optimized geometry

- Excess energy over the best structure of this formula in the dataset: 311 meV per atom
- DOS(E_F): 3.98 states/eV/f.u.
- Uncorrected energy: -5.72 eV/atom
- Formation enthalpy at 0 K: -0.995 eV per atom

Structure (POSCAR):
```
Ac2AsPt
1.0
-4.432 2.677 -1.600
-4.323 0.273 3.256
-1.326 4.697 2.355
Ac As Pt
2 1 1
direct
0.250 0.250 0.250
0.750 0.750 0.750
0.000 0.000 0.000
0.500 0.500 0.500
```

---

4.
Material: Ac2AsPt
Method: DFT, PBE
State: optimized geometry

- Excess energy over the best structure of this formula in the dataset: 0 meV per atom
- DOS(E_F): 1.47 states/eV/f.u.
- Uncorrected energy: -6.03 eV/atom
- Formation enthalpy at 0 K: -1.306 eV per atom

Structure (POSCAR):
```
Ac2AsPt
1.0
4.480 0.000 0.000
-2.240 3.880 0.000
0.000 0.000 21.831
Ac As Pt
6 3 3
direct
0.333 0.667 0.920
0.667 0.333 0.080
0.333 0.667 0.414
0.667 0.333 0.586
0.000 0.000 0.758
0.000 0.000 0.242
0.333 0.667 0.672
0.667 0.333 0.328
0.000 0.000 0.500
0.667 0.333 0.840
0.333 0.667 0.160
0.000 0.000 0.000
```

---

5.
Material: AcAs2Pt2
Method: DFT, PBE
State: optimized geometry

- DOS(E_F): 1.48 states/eV/f.u.
- Uncorrected energy: -6.04 eV/atom
- Formation enthalpy at 0 K: -0.941 eV per atom

Structure (POSCAR):
```
AcAs2Pt2
1.0
-2.344 -0.726 -3.872
-2.691 -2.996 2.191
-6.263 7.386 2.406
Ac As Pt
2 4 4
direct
0.500 0.000 0.248
0.000 0.500 0.752
0.500 0.500 0.500
0.000 0.000 0.500
0.000 0.500 0.128
0.500 0.000 0.872
0.000 0.500 0.383
0.500 0.000 0.617
0.500 0.500 0.000
0.000 0.000 0.000
```

---

6.
Material: Ac3As4Pt4
Method: DFT, PBE
State: optimized geometry

- DOS(E_F): 3.69 states/eV/f.u.
- Uncorrected energy: -6.07 eV/atom
- Formation enthalpy at 0 K: -1.061 eV per atom

Structure (POSCAR):
```
Ac3As4Pt4
1.0
4.475 0.001 -0.029
0.000 4.473 0.003
2.133 2.226 12.739
Ac As Pt
3 4 4
direct
0.161 0.651 0.698
0.839 0.349 0.302
0.000 0.000 0.000
0.584 0.553 0.895
0.416 0.447 0.105
0.260 0.805 0.391
0.740 0.195 0.609
0.581 0.095 0.809
0.311 0.259 0.484
0.689 0.741 0.516
0.419 0.905 0.191
```

---

no.,V (Å³/atom),M_tot (μB/f.u.)
1,18.97,0.00
2,24.06,0.00
3,28.13,0.34
4,31.63,0.00
5,20.97,0.00
6,23.20,0.00